{
  "formula": "NdLuNO",
  "functional": "PBE-GGA",
  "state": "optimized geometry",
  "e_tot_ev_per_cell": -125.03,
  "cell": [[6.685, 0.000, 0.000], [0.000, 8.105, 0.000], [0.000, 0.000, 4.958]],
  "species": ["Nd", "Nd", "Nd", "Nd", "Lu", "Lu", "Lu", "Lu", "N", "N", "N", "N", "O", "O", "O", "O"],
  "fractional_positions": [[0.067, 0.127, 0.000], [0.433, 0.127, 0.500], [0.567, 0.873, 0.000], [0.933, 0.873, 0.500], [0.087, 0.619, 0.000], [0.413, 0.619, 0.500], [0.587, 0.381, 0.000], [0.913, 0.381, 0.500], [0.083, 0.612, 0.505], [0.417, 0.612, 0.005], [0.583, 0.388, 0.505], [0.917, 0.388, 0.005], [0.083, 0.151, 0.499], [0.417, 0.151, 0.999], [0.583, 0.849, 0.499], [0.917, 0.849, 0.999]]
}



{
  "formula": "Li2Mg2Al2IrPd",
  "functional": "PBE-GGA",
  "state": "optimized geometry",
  "e_tot_ev_per_cell": -32.98,
  "cell": [[4.395, 0.000, 0.000], [0.000, 4.395, 0.000], [0.000, 0.000, 6.208]],
  "species": ["Li", "Li", "Mg", "Mg", "Al", "Al", "Ir", "Pd"],
  "fractional_positions": [[0.000, 0.000, 0.000], [0.500, 0.500, 0.500], [0.000, 0.500, 0.250], [0.500, 0.000, 0.750], [0.000, 0.500, 0.734], [0.500, 0.000, 0.266], [0.000, 0.000, 0.500], [0.500, 0.500, 0.000]]
}



{
  "formula": "LuSnTeAuS2",
  "functional": "PBE-GGA",
  "state": "optimized geometry",
  "e_tot_ev_per_cell": -55.78,
  "cell": [[2.020, -6.920, 0.000], [2.020, 6.920, 0.000], [0.000, 0.000, 11.217]],
  "species": ["Lu", "Lu", "Sn", "Sn", "Te", "Te", "Au", "Au", "S", "S", "S", "S"],
  "fractional_positions": [[0.000, 0.000, 0.000], [0.000, 0.000, 0.500], [0.239, 0.761, 0.750], [0.761, 0.239, 0.250], [0.097, 0.903, 0.250], [0.903, 0.097, 0.750], [0.426, 0.574, 0.250], [0.574, 0.426, 0.750], [0.375, 0.625, 0.045], [0.375, 0.625, 0.455], [0.625, 0.375, 0.545], [0.625, 0.375, 0.955]]
}



{
  "formula": "Mg2NiW",
  "functional": "PBE-GGA",
  "state": "optimized geometry",
  "e_tot_ev_per_cell": -19.66,
  "cell": [[0.000, 3.149, 3.149], [3.149, 0.000, 3.149], [3.149, 3.149, 0.000]],
  "species": ["Mg", "Mg", "Ni", "W"],
  "fractional_positions": [[0.000, 0.000, 0.000], [0.250, 0.250, 0.250], [0.500, 0.500, 0.500], [0.750, 0.750, 0.750]]
}



{
  "formula": "Hf3P",
  "functional": "PBE-GGA",
  "state": "optimized geometry",
  "e_tot_ev_per_cell": -307.61,
  "cell": [[10.691, 0.000, 0.000], [0.000, 10.691, 0.000], [0.000, 0.000, 5.303]],
  "species": ["Hf", "Hf", "Hf", "Hf", "Hf", "Hf", "Hf", "Hf", "Hf", "Hf", "Hf", "Hf", "Hf", "Hf", "Hf", "Hf", "Hf", "Hf", "Hf", "Hf", "Hf", "Hf", "Hf", "Hf", "P", "P", "P", "P", "P", "P", "P", "P"],
  "fractional_positions": [[0.034, 0.931, 0.239], [0.069, 0.534, 0.739], [0.112, 0.277, 0.029], [0.143, 0.834, 0.718], [0.166, 0.643, 0.218], [0.223, 0.112, 0.471], [0.277, 0.388, 0.471], [0.334, 0.857, 0.218], [0.357, 0.666, 0.718], [0.388, 0.223, 0.029], [0.431, 0.966, 0.739], [0.466, 0.569, 0.239], [0.534, 0.431, 0.761], [0.569, 0.034, 0.261], [0.612, 0.777, 0.971], [0.643, 0.334, 0.282], [0.666, 0.143, 0.782], [0.723, 0.612, 0.529], [0.777, 0.888, 0.529], [0.834, 0.357, 0.782], [0.857, 0.166, 0.282], [0.888, 0.723, 0.971], [0.931, 0.466, 0.261], [0.966, 0.069, 0.761], [0.044, 0.290, 0.536], [0.210, 0.044, 0.964], [0.290, 0.456, 0.964], [0.456, 0.210, 0.536], [0.544, 0.790, 0.464], [0.710, 0.544, 0.036], [0.790, 0.956, 0.036], [0.956, 0.710, 0.464]]
}



{
  "formula": "KLuNO",
  "functional": "PBE-GGA",
  "state": "optimized geometry",
  "e_tot_ev_per_cell": -97.29,
  "cell": [[7.412, 0.000, 0.000], [0.000, 8.606, 0.000], [0.000, 0.000, 4.803]],
  "species": ["K", "K", "K", "K", "Lu", "Lu", "Lu", "Lu", "N", "N", "N", "N", "O", "O", "O", "O"],
  "fractional_positions": [[0.108, 0.108, 0.000], [0.392, 0.108, 0.500], [0.608, 0.892, 0.000], [0.892, 0.892, 0.500], [0.090, 0.614, 0.004], [0.410, 0.614, 0.504], [0.590, 0.386, 0.004], [0.910, 0.386, 0.504], [0.108, 0.587, 0.505], [0.392, 0.587, 0.005], [0.608, 0.413, 0.505], [0.892, 0.413, 0.005], [0.029, 0.178, 0.500], [0.471, 0.178, 0.000], [0.529, 0.822, 0.500], [0.971, 0.822, 0.000]]
}



{
  "formula": "NaRe3Sb5",
  "functional": "PBE-GGA",
  "state": "optimized geometry",
  "e_tot_ev_per_cell": -56.10,
  "cell": [[5.557, 0.000, 0.000], [-2.778, 4.812, 0.000], [0.000, 0.000, 8.592]],
  "species": ["Na", "Re", "Re", "Re", "Sb", "Sb", "Sb", "Sb", "Sb"],
  "fractional_positions": [[0.000, 0.000, 0.000], [0.000, 0.500, 0.500], [0.500, 0.000, 0.500], [0.500, 0.500, 0.500], [0.000, 0.000, 0.500], [0.333, 0.667, 0.229], [0.333, 0.667, 0.771], [0.667, 0.333, 0.229], [0.667, 0.333, 0.771]]
}



{
  "formula": "AcZr3",
  "functional": "PBE-GGA",
  "state": "optimized geometry",
  "e_tot_ev_per_cell": -57.73,
  "delta_e_f_ev_per_atom": 0.221,
  "cell": [[5.417, 0.000, 0.000], [0.000, 6.680, 0.000], [0.000, 0.000, 6.048]],
  "species": ["Ac", "Ac", "Zr", "Zr", "Zr", "Zr", "Zr", "Zr"],
  "fractional_positions": [[0.250, 0.250, 0.133], [0.750, 0.750, 0.867], [0.250, 0.007, 0.635], [0.250, 0.493, 0.635], [0.250, 0.750, 0.214], [0.750, 0.250, 0.786], [0.750, 0.507, 0.365], [0.750, 0.993, 0.365]]
}



{
  "formula": "Ba2LiTcS6",
  "functional": "PBE-GGA",
  "state": "optimized geometry",
  "e_tot_ev_per_cell": -50.56,
  "cell": [[-3.391, 3.391, 4.808], [3.391, -3.391, 4.808], [3.391, 3.391, -4.808]],
  "species": ["Ba", "Ba", "Li", "Tc", "S", "S", "S", "S", "S", "S"],
  "fractional_positions": [[0.250, 0.750, 0.500], [0.750, 0.250, 0.500], [0.000, 0.000, 0.000], [0.500, 0.500, 0.000], [0.253, 0.253, 0.000], [0.253, 0.253, 0.507], [0.253, 0.747, 0.000], [0.747, 0.253, 0.000], [0.747, 0.747, 0.000], [0.747, 0.747, 0.493]]
}



{
  "formula": "Ga2Ag",
  "functional": "PBE-GGA",
  "state": "optimized geometry",
  "e_tot_ev_per_cell": -16.87,
  "cell": [[0.000, 3.835, 3.835], [3.835, 0.000, 3.835], [3.835, 3.835, 0.000]],
  "species": ["Ga", "Ga", "Ga", "Ga", "Ag", "Ag"],
  "fractional_positions": [[0.000, 0.000, 0.000], [0.000, 0.000, 0.500], [0.000, 0.500, 0.000], [0.500, 0.000, 0.000], [0.375, 0.375, 0.375], [0.625, 0.625, 0.625]]
}



{
  "formula": "PaPtAu",
  "functional": "PBE-GGA",
  "state": "optimized geometry",
  "e_tot_ev_per_cell": -20.42,
  "delta_e_f_ev_per_atom": -0.533,
  "cell": [[0.000, 3.295, 3.295], [3.295, 0.000, 3.295], [3.295, 3.295, 0.000]],
  "species": ["Pa", "Pt", "Au"],
  "fractional_positions": [[0.000, 0.000, 0.000], [0.750, 0.750, 0.750], [0.500, 0.500, 0.500]]
}



{
  "formula": "NdGa3Fe",
  "functional": "PBE-GGA",
  "state": "optimized geometry",
  "e_tot_ev_per_cell": -23.92,
  "cell": [[-2.141, 2.141, 5.146], [2.141, -2.141, 5.146], [2.141, 2.141, -5.146]],
  "species": ["Nd", "Ga", "Ga", "Ga", "Fe"],
  "fractional_positions": [[0.000, 0.000, 0.000], [0.254, 0.754, 0.500], [0.590, 0.590, 0.000], [0.754, 0.254, 0.500], [0.362, 0.362, 0.000]]
}



{
  "formula": "BaCuP",
  "functional": "PBE-GGA",
  "state": "optimized geometry",
  "e_tot_ev_per_cell": -26.49,
  "cell": [[2.116, -3.656, 0.000], [2.116, 3.656, 0.000], [0.000, 0.000, 9.259]],
  "species": ["Ba", "Ba", "Cu", "Cu", "P", "P"],
  "fractional_positions": [[0.001, 0.999, 0.500], [0.999, 0.001, 0.000], [0.334, 0.666, 0.749], [0.666, 0.334, 0.249], [0.333, 0.667, 0.249], [0.667, 0.333, 0.749]]
}



{
  "formula": "AlAgSn2",
  "functional": "PBE-GGA",
  "state": "optimized geometry",
  "e_tot_ev_per_cell": -13.79,
  "cell": [[0.000, 3.574, 3.574], [3.574, 0.000, 3.574], [3.574, 3.574, 0.000]],
  "species": ["Al", "Ag", "Sn", "Sn"],
  "fractional_positions": [[0.000, 0.000, 0.000], [0.250, 0.250, 0.250], [0.500, 0.500, 0.500], [0.750, 0.750, 0.750]]
}



{
  "formula": "Dy3Mg3AgPt2",
  "functional": "PBE-GGA",
  "state": "optimized geometry",
  "e_tot_ev_per_cell": -40.03,
  "cell": [[7.532, 0.000, 0.000], [-3.766, 6.523, 0.000], [0.000, 0.000, 4.011]],
  "species": ["Dy", "Dy", "Dy", "Mg", "Mg", "Mg", "Ag", "Pt", "Pt"],
  "fractional_positions": [[0.000, 0.420, 0.000], [0.420, 0.000, 0.000], [0.580, 0.580, 0.000], [0.000, 0.748, 0.500], [0.252, 0.252, 0.500], [0.748, 0.000, 0.500], [0.000, 0.000, 0.000], [0.333, 0.667, 0.500], [0.667, 0.333, 0.500]]
}



{
  "formula": "Al2BIr",
  "functional": "PBE-GGA",
  "state": "optimized geometry",
  "e_tot_ev_per_cell": -21.99,
  "cell": [[0.000, 2.932, 2.932], [2.932, 0.000, 2.932], [2.932, 2.932, 0.000]],
  "species": ["Al", "Al", "B", "Ir"],
  "fractional_positions": [[0.000, 0.000, 0.000], [0.250, 0.250, 0.250], [0.500, 0.500, 0.500], [0.750, 0.750, 0.750]]
}



{
  "formula": "LuGaNi",
  "functional": "PBE-GGA",
  "state": "optimized geometry",
  "e_tot_ev_per_cell": -12.53,
  "cell": [[0.000, 3.174, 3.174], [3.174, 0.000, 3.174], [3.174, 3.174, 0.000]],
  "species": ["Lu", "Ga", "Ni"],
  "fractional_positions": [[0.000, 0.000, 0.000], [0.750, 0.750, 0.750], [0.250, 0.250, 0.250]]
}



{
  "formula": "DyErGe2",
  "functional": "PBE-GGA",
  "state": "optimized geometry",
  "e_tot_ev_per_cell": -43.71,
  "cell": [[3.932, 0.000, 0.000], [0.000, 5.761, 0.000], [0.000, 0.000, 7.931]],
  "species": ["Dy", "Dy", "Er", "Er", "Ge", "Ge", "Ge", "Ge"],
  "fractional_positions": [[0.000, 0.131, 0.000], [0.000, 0.869, 0.500], [0.500, 0.369, 0.639], [0.500, 0.631, 0.139], [0.000, 0.395, 0.362], [0.000, 0.605, 0.862], [0.500, 0.105, 0.277], [0.500, 0.895, 0.777]]
}



{
  "formula": "SrLuSnTe3",
  "functional": "PBE-GGA",
  "state": "optimized geometry",
  "e_tot_ev_per_cell": -49.93,
  "cell": [[2.172, -7.951, 0.000], [2.172, 7.951, 0.000], [0.000, 0.000, 11.036]],
  "species": ["Sr", "Sr", "Lu", "Lu", "Sn", "Sn", "Te", "Te", "Te", "Te", "Te", "Te"],
  "fractional_positions": [[0.222, 0.778, 0.750], [0.778, 0.222, 0.250], [0.000, 0.000, 0.000], [0.000, 0.000, 0.500], [0.477, 0.523, 0.250], [0.523, 0.477, 0.750], [0.120, 0.880, 0.250], [0.360, 0.640, 0.034], [0.360, 0.640, 0.466], [0.640, 0.360, 0.534], [0.640, 0.360, 0.966], [0.880, 0.120, 0.750]]
}



{
  "formula": "Ge2W",
  "functional": "PBE-GGA",
  "state": "optimized geometry",
  "e_tot_ev_per_cell": -37.75,
  "cell": [[0.000, 3.683, 3.683], [3.683, 0.000, 3.683], [3.683, 3.683, 0.000]],
  "species": ["Ge", "Ge", "Ge", "Ge", "W", "W"],
  "fractional_positions": [[0.000, 0.000, 0.000], [0.000, 0.000, 0.500], [0.000, 0.500, 0.000], [0.500, 0.000, 0.000], [0.375, 0.375, 0.375], [0.625, 0.625, 0.625]]
}



{
  "formula": "ZrZn2Cd",
  "functional": "PBE-GGA",
  "state": "optimized geometry",
  "e_tot_ev_per_cell": -12.03,
  "delta_e_f_ev_per_atom": -0.014,
  "cell": [[0.000, 3.300, 3.300], [3.300, 0.000, 3.300], [3.300, 3.300, 0.000]],
  "species": ["Zr", "Zn", "Zn", "Cd"],
  "fractional_positions": [[0.000, 0.000, 0.000], [0.500, 0.500, 0.500], [0.750, 0.750, 0.750], [0.250, 0.250, 0.250]]
}